DFT (PBE with a Hubbard U) results for a geometry-optimized NaVF2 structure.

Cell and atoms, written as CIF:
```
data_NaVF2
_space_group_name_H-M_alt 'F m -3 m'
_space_group_IT_number 225
_space_group_name_Hall '-F 4 2 3'
_cell_length_a 5.9325
_cell_length_b 5.9325
_cell_length_c 5.9325
_cell_angle_alpha 90.00
_cell_angle_beta 90.00
_cell_angle_gamma 90.00
loop_
_atom_site_label
_atom_site_type_symbol
_atom_site_fract_x
_atom_site_fract_y
_atom_site_fract_z
Na1 Na 0.0000 0.0000 0.0000
V1 V 0.0000 0.0000 0.5000
F1 F 0.2500 0.2500 0.2500
```

Output
DOS(E_F): 15.5 states/eV/cell
ΔE to the lowest computed polymorph: 0.554 eV per atom